(1)
Compound: HoErCuIr
Source: the Open Quantum Materials Database
Functional: PBE
Structure: relaxed Values from VASP.

The structure in Quantum ESPRESSO input format:
```
&SYSTEM
  ibrav = 0, nat = 4, ntyp = 4
/
ATOMIC_SPECIES
Cu 63.55 Cu.upf
Er 167.26 Er.upf
Ho 164.93 Ho.upf
Ir 192.22 Ir.upf
CELL_PARAMETERS angstrom
-2.419 2.419 3.403
2.419 -2.419 3.403
2.419 2.419 -3.403
ATOMIC_POSITIONS crystal
Cu 0.500 0.500 0.000
Er 0.750 0.250 0.500
Ho 0.250 0.750 0.500
Ir 0.000 0.000 0.000
```

Calculated values
Total moment: 0.001 μB per cell
Energy of formation from the pure elements: -0.6328 eV per atom
Calculated total energy: -0.223 Ha/atom
SG: No. 119

(2)
Compound: Ta2W
Source: the Open Quantum Materials Database
Functional: PBE
Structure: relaxed Values from VASP.

The structure in Quantum ESPRESSO input format:
```
&SYSTEM
  ibrav = 0, nat = 30, ntyp = 2
/
ATOMIC_SPECIES
Ta 180.95 Ta.upf
W 183.84 W.upf
CELL_PARAMETERS angstrom
10.077 0.000 0.000
0.000 10.077 0.000
0.000 0.000 5.269
ATOMIC_POSITIONS crystal
Ta 0.743 0.065 0.000
Ta 0.465 0.130 0.000
Ta 0.935 0.257 0.000
Ta 0.397 0.397 0.000
Ta 0.130 0.465 0.000
Ta 0.870 0.535 0.000
Ta 0.603 0.603 0.000
Ta 0.065 0.743 0.000
Ta 0.535 0.870 0.000
Ta 0.257 0.935 0.000
Ta 0.630 0.035 0.500
Ta 0.897 0.103 0.500
Ta 0.435 0.243 0.500
Ta 0.965 0.370 0.500
Ta 0.243 0.435 0.500
Ta 0.757 0.565 0.500
Ta 0.035 0.630 0.500
Ta 0.565 0.757 0.500
Ta 0.103 0.897 0.500
Ta 0.370 0.965 0.500
W 0.000 0.000 0.000
W 0.683 0.317 0.248
W 0.317 0.683 0.248
W 0.183 0.183 0.252
W 0.817 0.817 0.252
W 0.500 0.500 0.500
W 0.183 0.183 0.748
W 0.817 0.817 0.748
W 0.683 0.317 0.752
W 0.317 0.683 0.752
```

Calculated values
Total moment: 0.005 μB per cell
Energy above the lowest structure with this stoichiometry: 0.0765 eV per atom
Energy of formation from the pure elements: 0.0409 eV per atom
Calculated total energy: -0.448 Ha/atom
SG: No. 136

(3)
Compound: CoHgSbIr
Source: the Open Quantum Materials Database
Functional: PBE
Structure: relaxed Values from VASP.

The structure in Quantum ESPRESSO input format:
```
&SYSTEM
  ibrav = 0, nat = 4, ntyp = 4
/
ATOMIC_SPECIES
Co 58.93 Co.upf
Hg 200.59 Hg.upf
Ir 192.22 Ir.upf
Sb 121.76 Sb.upf
CELL_PARAMETERS angstrom
0.000 3.244 3.244
3.244 0.000 3.244
3.244 3.244 0.000
ATOMIC_POSITIONS crystal
Co 0.750 0.750 0.750
Hg 0.500 0.500 0.500
Ir 0.250 0.250 0.250
Sb 0.000 0.000 0.000
```

Calculated values
Total moment: 1.370 μB per cell
Energy above the lowest structure with this stoichiometry: 0.0000 eV per atom
Calculated total energy: -0.174 Ha/atom
SG: No. 216

(4)
Compound: Dy2TmTl2Cd4
Source: the Open Quantum Materials Database
Functional: PBE
Structure: relaxed Values from VASP.

The structure in Quantum ESPRESSO input format:
```
&SYSTEM
  ibrav = 0, nat = 9, ntyp = 4
/
ATOMIC_SPECIES
Cd 112.41 Cd.upf
Dy 162.50 Dy.upf
Tl 204.38 Tl.upf
Tm 168.93 Tm.upf
CELL_PARAMETERS angstrom
-4.217 -1.541 -0.790
-1.852 1.401 7.158
-0.974 5.337 -5.214
ATOMIC_POSITIONS crystal
Cd 0.500 0.760 0.000
Cd 0.500 0.239 0.239
Cd 0.500 0.000 0.760
Cd 0.000 0.997 0.997
Dy 0.000 0.429 0.001
Dy 0.000 0.001 0.429
Tl 0.500 0.666 0.335
Tl 0.500 0.335 0.666
Tm 0.000 0.573 0.573
```

Calculated values
Total moment: 0.003 μB per cell
Calculated total energy: -0.101 Ha/atom
SG: No. 38

(5)
Compound: CoSiHgPd
Source: the Open Quantum Materials Database
Functional: PBE
Structure: relaxed Values from VASP.

The structure in Quantum ESPRESSO input format:
```
&SYSTEM
  ibrav = 0, nat = 4, ntyp = 4
/
ATOMIC_SPECIES
Co 58.93 Co.upf
Hg 200.59 Hg.upf
Pd 106.42 Pd.upf
Si 28.09 Si.upf
CELL_PARAMETERS angstrom
1.317 -4.082 0.994
1.097 -1.012 4.143
-2.601 -2.633 2.386
ATOMIC_POSITIONS crystal
Co 0.750 0.750 0.750
Hg 0.500 0.500 0.500
Pd 0.250 0.250 0.250
Si 0.000 0.000 0.000
```

Calculated values
Total moment: 1.175 μB per cell
Energy above the lowest structure with this stoichiometry: 0.0000 eV per atom
Calculated total energy: -0.161 Ha/atom
SG: No. 216

(6)
Compound: MgCoNiAs
Source: the Open Quantum Materials Database
Functional: PBE
Structure: relaxed Values from VASP.

The structure in Quantum ESPRESSO input format:
```
&SYSTEM
  ibrav = 0, nat = 4, ntyp = 4
/
ATOMIC_SPECIES
As 74.92 As.upf
Co 58.93 Co.upf
Mg 24.30 Mg.upf
Ni 58.69 Ni.upf
CELL_PARAMETERS angstrom
0.000 2.938 2.938
2.938 0.000 2.938
2.938 2.938 0.000
ATOMIC_POSITIONS crystal
As 0.000 0.000 0.000
Co 0.250 0.250 0.250
Mg 0.500 0.500 0.500
Ni 0.750 0.750 0.750
```

Calculated values
Total moment: 1.165 μB per cell
Energy above the lowest structure with this stoichiometry: 0.0000 eV per atom
Calculated total energy: -0.178 Ha/atom
SG: No. 216

(7)
Compound: TcAuNO
Source: the Open Quantum Materials Database
Functional: PBE
Structure: relaxed Values from VASP.

The structure in Quantum ESPRESSO input format:
```
&SYSTEM
  ibrav = 0, nat = 16, ntyp = 4
/
ATOMIC_SPECIES
Au 196.97 Au.upf
N 14.01 N.upf
O 16.00 O.upf
Tc 98.00 Tc.upf
CELL_PARAMETERS angstrom
-4.078 -2.950 0.939
3.374 -4.590 0.232
0.975 1.106 7.710
ATOMIC_POSITIONS crystal
Au 0.426 0.635 0.419
Au 0.926 0.865 0.419
Au 0.426 0.135 0.581
Au 0.926 0.365 0.581
N 0.469 0.131 0.298
N 0.969 0.369 0.298
N 0.469 0.631 0.702
N 0.969 0.869 0.702
O 0.758 0.612 0.003
O 0.258 0.888 0.003
O 0.758 0.112 0.997
O 0.258 0.388 0.997
Tc 0.049 0.576 0.154
Tc 0.549 0.924 0.154
Tc 0.049 0.076 0.846
Tc 0.549 0.424 0.846
```

Calculated values
Total moment: 0.004 μB per cell
Energy above the lowest structure with this stoichiometry: 0.1160 eV per atom
Calculated total energy: -0.247 Ha/atom
SG: No. 29

(8)
Compound: HfCdNO
Source: the Open Quantum Materials Database
Functional: PBE
Structure: relaxed Values from VASP.

The structure in Quantum ESPRESSO input format:
```
&SYSTEM
  ibrav = 0, nat = 8, ntyp = 4
/
ATOMIC_SPECIES
Cd 112.41 Cd.upf
Hf 178.49 Hf.upf
N 14.01 N.upf
O 16.00 O.upf
CELL_PARAMETERS angstrom
-1.708 -2.958 0.000
0.000 0.000 6.350
-5.301 3.061 0.000
ATOMIC_POSITIONS crystal
Cd 0.000 0.548 0.331
Cd 0.000 0.048 0.669
Hf 0.500 0.983 0.154
Hf 0.500 0.483 0.846
N 0.000 0.928 0.328
N 0.000 0.428 0.672
O 0.500 0.295 0.105
O 0.500 0.795 0.895
```

Calculated values
Total moment: 0.226 μB per cell
Energy above the lowest structure with this stoichiometry: 0.1432 eV per atom
Calculated total energy: -0.270 Ha/atom
SG: No. 26